No. 1
This record from the Alexandria database describes a relaxed Ba2Cd2N crystal. The functional is GGA-PBE.

```
5
Lattice="-1.5941 -2.9881 1.7488 1.7603 -2.3573 -2.4233 7.9711 -3.2174 5.9224" Properties=species:S:1:pos:R:3 pbc="T T T"
N 0.0000 0.0000 0.0000
Ba 1.2960 -2.7565 0.6252
Ba 6.8413 -5.8064 4.6226
Cd 3.2300 -4.4391 3.6669
Cd 4.9072 -4.1237 1.5809
```

Output
- Symmetry: I4/mmm (139)
- Fermi-level density of states: 0.393 states/eV per atom
- Offset from the most stable computed form: 0.0000 eV per atom
- M_tot: 0.00 μB/atom

No. 2
This record from the Alexandria database describes a relaxed Ba4Cd2N crystal. The functional is GGA-PBE.

```
14
Lattice="-3.3353 5.7678 3.7303 -6.5657 -4.4800 1.0567 5.2059 -5.9952 6.9290" Properties=species:S:1:pos:R:3 pbc="T T T"
Ba -3.5811 -1.0252 4.3223
Ba -0.3971 -8.3125 7.9254
Ba -4.2980 3.6051 3.7905
Ba -6.7567 -3.1920 4.8334
Ba -1.3223 0.3035 8.2821
Ba 2.0616 -1.5153 6.8825
Ba -1.1140 -3.6821 7.3936
Ba -3.3728 -5.0108 3.4338
Cd -7.0017 0.3280 3.5205
Cd 2.3066 -5.0354 8.1954
Cd -0.1286 -2.5001 3.8131
Cd -4.5665 -2.2073 7.9028
N -4.7975 -2.9532 3.3049
N 0.1024 -1.7542 8.4110
```

Output
- Symmetry: P2_1/m (11)
- Fermi-level density of states: 0.859 states/eV per atom
- Offset from the most stable computed form: 0.0000 eV per atom
- M_tot: 0.00 μB/atom

No. 3
This record from the Alexandria database describes a relaxed Ba3CdN crystal. The functional is GGA-PBE.

```
5
Lattice="5.6623 0.0000 0.0000 0.0000 5.6623 0.0000 0.0000 0.0000 5.6623" Properties=species:S:1:pos:R:3 pbc="T T T"
N 0.0000 0.0000 0.0000
Ba 0.0000 2.8311 0.0000
Ba 0.0000 0.0000 2.8311
Ba 2.8311 0.0000 0.0000
Cd 2.8311 2.8311 2.8311
```

Output
- Symmetry: Pm-3m (221)
- Fermi-level density of states: 1.199 states/eV per atom
- Offset from the most stable computed form: 0.0188 eV per atom
- M_tot: 0.00 μB/atom